This record from Alexandria via LeMat-Bulk describes CuSbSe2 after structural relaxation. The functional is GGA-PBE.

Geometry as CIF:
```
data_CuSbSe2
_chemical_formula_sum 'Cu1 Sb1 Se2'
_space_group_name_H-M_alt 'P 4 m m'
_space_group_IT_number 99
_space_group_name_Hall 'P 4 -2'
_cell_length_a 3.143
_cell_length_b 3.143
_cell_length_c 9.030
_cell_angle_alpha 90.00
_cell_angle_beta 90.00
_cell_angle_gamma 90.00
loop_
_atom_site_label
_atom_site_fract_x
_atom_site_fract_y
_atom_site_fract_z
_atom_site_occupancy
Cu1 0.000 0.000 0.000 1
Sb1 0.500 0.500 0.218 1
Se1 0.000 0.000 0.480 1
Se2 0.500 0.500 0.857 1
```

## Properties
As for the total magnetic moment: 0.00 μB/cell. The calculation puts the total DFT energy (no corrections) at -14.12 eV per formula unit. Its energy relative to the elements, uncorrected is 0.27 eV per atom.

=====

This record from Alexandria via LeMat-Bulk describes PdPbC2O6 after structural relaxation. The functional is GGA-PBE.

Geometry as CIF:
```
data_PdPbC2O6
_chemical_formula_sum 'Pd3 Pb3 C6 O18'
_space_group_name_H-M_alt 'R -3'
_space_group_IT_number 148
_space_group_name_Hall '-R 3'
_cell_length_a 5.1012
_cell_length_b 5.1012
_cell_length_c 17.3803
_cell_angle_alpha 90.00
_cell_angle_beta 90.00
_cell_angle_gamma 120.00
loop_
_atom_site_label
_atom_site_fract_x
_atom_site_fract_y
_atom_site_fract_z
_atom_site_occupancy
Pd1 0.0000 0.0000 0.0000 1
Pb1 0.0000 0.0000 0.5000 1
C1 0.0000 0.0000 0.2594 1
O1 0.0261 0.2669 0.7421 1
```

## Properties
As for the total magnetic moment: 6.00 μB/cell. The calculation puts the total DFT energy (no corrections) at -67.89 eV per formula unit. Its energy relative to the elements, uncorrected is -1.08 eV per atom.